No. 1
{
  "formula": "ScTlBr2",
  "functional": "SCAN",
  "state": "single point on PBEsol structure",
  "lattice_angstrom": [[5.302, 0.000, 0.000], [0.000, 5.302, 0.000], [0.000, 0.000, 3.570]],
  "species": ["Sc", "Tl", "Br", "Br"],
  "fractional_positions": [[0.000, 0.000, 0.000], [0.500, 0.500, 0.000], [0.000, 0.500, 0.500], [0.500, 0.000, 0.500]],
  "raw_formation_energy_kj_per_mol_atoms": -61.4,
  "de_polymorph_mev_per_atom": 37
}

---

No. 2
{
  "formula": "CaGa2Pt",
  "functional": "SCAN",
  "state": "single point on PBEsol structure",
  "lattice_angstrom": [[0.000, 3.234, 3.234], [3.234, 0.000, 3.234], [3.234, 3.234, 0.000]],
  "species": ["Ca", "Ga", "Ga", "Pt"],
  "fractional_positions": [[0.000, 0.000, 0.000], [0.250, 0.250, 0.250], [0.750, 0.750, 0.750], [0.500, 0.500, 0.500]],
  "e_form_kj_per_mol_fu": -258.9
}

---

No. 3
{
  "formula": "Rb2GaRePb",
  "functional": "SCAN",
  "state": "single point on PBEsol structure",
  "lattice_angstrom": [[6.980, 0.000, 0.000], [0.000, 6.980, 0.000], [0.000, 0.000, 5.178]],
  "species": ["Rb", "Rb", "Ga", "Re", "Pb"],
  "fractional_positions": [[0.000, 0.500, 0.000], [0.500, 0.000, 0.000], [0.000, 0.000, 0.500], [0.500, 0.500, 0.500], [0.000, 0.000, 0.000]],
  "e_form_kj_per_mol_fu": 698.3
}